The following is a DFT calculation (PBE) of a relaxed structure of Ca2GdPd.

E_form: -0.0814 eV per atom
Fermi-level density of states: 6.04 states/eV per cell
V: 128.8 Å³/f.u.
VASP energy: -5.901 eV per atom

CIF file:
```
data_Ca2GdPd
_cell_length_a 11.018
_cell_length_b 11.018
_cell_length_c 11.018
_cell_angle_alpha 19.38
_cell_angle_beta 19.38
_cell_angle_gamma 19.38
_symmetry_space_group_name_H-M 'P 1'
_symmetry_Int_Tables_number 1
_symmetry_space_group_name_Hall 'P 1'
loop_
_atom_site_label
_atom_site_type_symbol
_atom_site_fract_x
_atom_site_fract_y
_atom_site_fract_z
Ca1 Ca 0.109 0.109 0.109
Ca2 Ca 0.891 0.891 0.891
Gd1 Gd 0.000 0.000 0.000
Pd1 Pd 0.500 0.500 0.500
```



The following is a DFT calculation (PBE) of a relaxed structure of Ca2GdPd.

E_form: -0.2851 eV per atom
Fermi-level density of states: 5.87 states/eV per cell
V: 117.3 Å³/f.u.
VASP energy: -6.104 eV per atom

CIF file:
```
data_Ca2GdPd
_cell_length_a 3.583
_cell_length_b 3.583
_cell_length_c 9.141
_cell_angle_alpha 90.00
_cell_angle_beta 90.00
_cell_angle_gamma 90.00
_symmetry_space_group_name_H-M 'P 1'
_symmetry_Int_Tables_number 1
_symmetry_space_group_name_Hall 'P 1'
loop_
_atom_site_label
_atom_site_type_symbol
_atom_site_fract_x
_atom_site_fract_y
_atom_site_fract_z
Ca1 Ca 0.000 0.000 0.186
Ca2 Ca 0.000 0.000 0.814
Gd1 Gd 0.500 0.500 0.500
Pd1 Pd 0.500 0.500 0.000
```



The following is a DFT calculation (PBE) of a relaxed structure of CaGd2Pd.

E_form: -0.2989 eV per atom
Fermi-level density of states: 6.98 states/eV per cell
V: 131.5 Å³/f.u.
VASP energy: -9.138 eV per atom

CIF file:
```
data_CaGd2Pd
_cell_length_a 10.023
_cell_length_b 10.023
_cell_length_c 10.023
_cell_angle_alpha 22.69
_cell_angle_beta 22.69
_cell_angle_gamma 22.69
_symmetry_space_group_name_H-M 'P 1'
_symmetry_Int_Tables_number 1
_symmetry_space_group_name_Hall 'P 1'
loop_
_atom_site_label
_atom_site_type_symbol
_atom_site_fract_x
_atom_site_fract_y
_atom_site_fract_z
Ca1 Ca 0.000 0.000 0.000
Gd1 Gd 0.225 0.225 0.225
Gd2 Gd 0.775 0.775 0.775
Pd1 Pd 0.500 0.500 0.500
```



The following is a DFT calculation (PBE) of a relaxed structure of CaGd3Pd.

E_form: -0.1722 eV per atom
Fermi-level density of states: 13.61 states/eV per cell
V: 174.8 Å³/f.u.
VASP energy: -10.060 eV per atom

CIF file:
```
data_CaGd3Pd
_cell_length_a 5.591
_cell_length_b 5.591
_cell_length_c 5.591
_cell_angle_alpha 90.00
_cell_angle_beta 90.00
_cell_angle_gamma 90.00
_symmetry_space_group_name_H-M 'P 1'
_symmetry_Int_Tables_number 1
_symmetry_space_group_name_Hall 'P 1'
loop_
_atom_site_label
_atom_site_type_symbol
_atom_site_fract_x
_atom_site_fract_y
_atom_site_fract_z
Ca1 Ca 0.000 0.000 0.000
Gd1 Gd 0.000 0.500 0.500
Gd2 Gd 0.500 0.000 0.500
Gd3 Gd 0.500 0.500 0.000
Pd1 Pd 0.500 0.500 0.500
```



The following is a DFT calculation (PBE) of a relaxed structure of CaGdPdRu.

E_form: -0.3334 eV per atom
Fermi-level density of states: 2.36 states/eV per cell
V: 82.8 Å³/f.u.
VASP energy: -7.971 eV per atom

CIF file:
```
data_CaGdPdRu
_cell_length_a 4.893
_cell_length_b 4.893
_cell_length_c 4.893
_cell_angle_alpha 60.00
_cell_angle_beta 60.00
_cell_angle_gamma 60.00
_symmetry_space_group_name_H-M 'P 1'
_symmetry_Int_Tables_number 1
_symmetry_space_group_name_Hall 'P 1'
loop_
_atom_site_label
_atom_site_type_symbol
_atom_site_fract_x
_atom_site_fract_y
_atom_site_fract_z
Ca1 Ca 0.000 0.000 0.000
Gd1 Gd 0.500 0.500 0.500
Pd1 Pd 0.750 0.750 0.750
Ru1 Ru 0.250 0.250 0.250
```



The following is a DFT calculation (PBE) of a relaxed structure of CaGdSiPd.

Fermi-level density of states: 2.34 states/eV per cell
V: 89.0 Å³/f.u.
VASP energy: -7.290 eV per atom
E_form (uncorrected): -0.615 eV/atom

CIF file:
```
data_CaGdSiPd
_cell_length_a 5.012
_cell_length_b 5.012
_cell_length_c 5.012
_cell_angle_alpha 60.00
_cell_angle_beta 60.00
_cell_angle_gamma 60.00
_symmetry_space_group_name_H-M 'P 1'
_symmetry_Int_Tables_number 1
_symmetry_space_group_name_Hall 'P 1'
loop_
_atom_site_label
_atom_site_type_symbol
_atom_site_fract_x
_atom_site_fract_y
_atom_site_fract_z
Ca1 Ca 0.000 0.000 0.000
Gd1 Gd 0.500 0.500 0.500
Si1 Si 0.250 0.250 0.250
Pd1 Pd 0.750 0.750 0.750
```



The following is a DFT calculation (PBE) of a relaxed structure of CaGdSnPd.

E_form: -0.6933 eV per atom
Fermi-level density of states: 2.42 states/eV per cell
V: 99.8 Å³/f.u.
VASP energy: -7.013 eV per atom

CIF file:
```
data_CaGdSnPd
_cell_length_a 5.207
_cell_length_b 5.207
_cell_length_c 5.207
_cell_angle_alpha 60.00
_cell_angle_beta 60.00
_cell_angle_gamma 60.00
_symmetry_space_group_name_H-M 'P 1'
_symmetry_Int_Tables_number 1
_symmetry_space_group_name_Hall 'P 1'
loop_
_atom_site_label
_atom_site_type_symbol
_atom_site_fract_x
_atom_site_fract_y
_atom_site_fract_z
Ca1 Ca 0.000 0.000 0.000
Gd1 Gd 0.500 0.500 0.500
Sn1 Sn 0.750 0.750 0.750
Pd1 Pd 0.250 0.250 0.250
```



The following is a DFT calculation (PBE) of a relaxed structure of CaGdZnPd.

E_form: -0.5056 eV per atom
Fermi-level density of states: 3.16 states/eV per cell
V: 91.3 Å³/f.u.
VASP energy: -6.143 eV per atom

CIF file:
```
data_CaGdZnPd
_cell_length_a 5.055
_cell_length_b 5.055
_cell_length_c 5.055
_cell_angle_alpha 60.00
_cell_angle_beta 60.00
_cell_angle_gamma 60.00
_symmetry_space_group_name_H-M 'P 1'
_symmetry_Int_Tables_number 1
_symmetry_space_group_name_Hall 'P 1'
loop_
_atom_site_label
_atom_site_type_symbol
_atom_site_fract_x
_atom_site_fract_y
_atom_site_fract_z
Ca1 Ca 0.000 0.000 0.000
Gd1 Gd 0.500 0.500 0.500
Zn1 Zn 0.250 0.250 0.250
Pd1 Pd 0.750 0.750 0.750
```



The following is a DFT calculation (PBE) of a relaxed structure of Ca2PmGd.

E_form: 0.1442 eV per atom
Fermi-level density of states: 7.13 states/eV per cell
V: 146.4 Å³/f.u.
VASP energy: -5.564 eV per atom

CIF file:
```
data_Ca2PmGd
_cell_length_a 5.916
_cell_length_b 5.916
_cell_length_c 5.916
_cell_angle_alpha 60.00
_cell_angle_beta 60.00
_cell_angle_gamma 60.00
_symmetry_space_group_name_H-M 'P 1'
_symmetry_Int_Tables_number 1
_symmetry_space_group_name_Hall 'P 1'
loop_
_atom_site_label
_atom_site_type_symbol
_atom_site_fract_x
_atom_site_fract_y
_atom_site_fract_z
Ca1 Ca 0.250 0.250 0.250
Ca2 Ca 0.750 0.750 0.750
Pm1 Pm 0.000 0.000 0.000
Gd1 Gd 0.500 0.500 0.500
```



The following is a DFT calculation (PBE) of a relaxed structure of CaPmGd2.

E_form: 0.1382 eV per atom
Fermi-level density of states: 5.41 states/eV per cell
V: 140.5 Å³/f.u.
VASP energy: -8.590 eV per atom

CIF file:
```
data_CaPmGd2
_cell_length_a 12.794
_cell_length_b 12.794
_cell_length_c 12.794
_cell_angle_alpha 16.10
_cell_angle_beta 16.10
_cell_angle_gamma 16.10
_symmetry_space_group_name_H-M 'P 1'
_symmetry_Int_Tables_number 1
_symmetry_space_group_name_Hall 'P 1'
loop_
_atom_site_label
_atom_site_type_symbol
_atom_site_fract_x
_atom_site_fract_y
_atom_site_fract_z
Ca1 Ca 0.000 0.000 0.000
Pm1 Pm 0.500 0.500 0.500
Gd1 Gd 0.090 0.090 0.090
Gd2 Gd 0.910 0.910 0.910
```



The following is a DFT calculation (PBE) of a relaxed structure of CaPm2Gd.

E_form: 0.0945 eV per atom
Fermi-level density of states: 6.94 states/eV per cell
V: 139.6 Å³/f.u.
VASP energy: -6.301 eV per atom

CIF file:
```
data_CaPm2Gd
_cell_length_a 5.200
_cell_length_b 5.200
_cell_length_c 5.164
_cell_angle_alpha 90.00
_cell_angle_beta 90.00
_cell_angle_gamma 90.00
_symmetry_space_group_name_H-M 'P 1'
_symmetry_Int_Tables_number 1
_symmetry_space_group_name_Hall 'P 1'
loop_
_atom_site_label
_atom_site_type_symbol
_atom_site_fract_x
_atom_site_fract_y
_atom_site_fract_z
Ca1 Ca 0.000 0.000 0.000
Pm1 Pm 0.000 0.500 0.500
Pm2 Pm 0.500 0.000 0.500
Gd1 Gd 0.500 0.500 0.000
```



The following is a DFT calculation (PBE) of a relaxed structure of Ca2PmGd.

E_form: 0.1383 eV per atom
Fermi-level density of states: 6.74 states/eV per cell
V: 146.6 Å³/f.u.
VASP energy: -5.570 eV per atom

CIF file:
```
data_Ca2PmGd
_cell_length_a 4.131
_cell_length_b 4.131
_cell_length_c 8.592
_cell_angle_alpha 90.00
_cell_angle_beta 90.00
_cell_angle_gamma 90.00
_symmetry_space_group_name_H-M 'P 1'
_symmetry_Int_Tables_number 1
_symmetry_space_group_name_Hall 'P 1'
loop_
_atom_site_label
_atom_site_type_symbol
_atom_site_fract_x
_atom_site_fract_y
_atom_site_fract_z
Ca1 Ca 0.000 0.000 0.250
Ca2 Ca 0.000 0.000 0.750
Pm1 Pm 0.500 0.500 0.000
Gd1 Gd 0.500 0.500 0.500
```



The following is a DFT calculation (PBE) of a relaxed structure of CaPmGd2.

E_form: 0.1023 eV per atom
Fermi-level density of states: 7.85 states/eV per cell
V: 137.8 Å³/f.u.
VASP energy: -8.626 eV per atom

CIF file:
```
data_CaPmGd2
_cell_length_a 5.172
_cell_length_b 5.172
_cell_length_c 5.154
_cell_angle_alpha 90.00
_cell_angle_beta 90.00
_cell_angle_gamma 90.00
_symmetry_space_group_name_H-M 'P 1'
_symmetry_Int_Tables_number 1
_symmetry_space_group_name_Hall 'P 1'
loop_
_atom_site_label
_atom_site_type_symbol
_atom_site_fract_x
_atom_site_fract_y
_atom_site_fract_z
Ca1 Ca 0.000 0.000 0.000
Pm1 Pm 0.500 0.500 0.000
Gd1 Gd 0.000 0.500 0.500
Gd2 Gd 0.500 0.000 0.500
```



The following is a DFT calculation (PBE) of a relaxed structure of CaPmGd2.

E_form: 0.0500 eV per atom
Fermi-level density of states: 6.60 states/eV per cell
V: 139.6 Å³/f.u.
VASP energy: -8.679 eV per atom

CIF file:
```
data_CaPmGd2
_cell_length_a 3.649
_cell_length_b 3.649
_cell_length_c 10.486
_cell_angle_alpha 90.00
_cell_angle_beta 90.00
_cell_angle_gamma 90.00
_symmetry_space_group_name_H-M 'P 1'
_symmetry_Int_Tables_number 1
_symmetry_space_group_name_Hall 'P 1'
loop_
_atom_site_label
_atom_site_type_symbol
_atom_site_fract_x
_atom_site_fract_y
_atom_site_fract_z
Ca1 Ca 0.000 0.000 0.000
Pm1 Pm 0.000 0.000 0.500
Gd1 Gd 0.500 0.500 0.267
Gd2 Gd 0.500 0.500 0.733
```



The following is a DFT calculation (PBE) of a relaxed structure of CaPm2Gd.

E_form: 0.0499 eV per atom
Fermi-level density of states: 6.11 states/eV per cell
V: 141.0 Å³/f.u.
VASP energy: -6.346 eV per atom

CIF file:
```
data_CaPm2Gd
_cell_length_a 3.673
_cell_length_b 3.673
_cell_length_c 10.450
_cell_angle_alpha 90.00
_cell_angle_beta 90.00
_cell_angle_gamma 90.00
_symmetry_space_group_name_H-M 'P 1'
_symmetry_Int_Tables_number 1
_symmetry_space_group_name_Hall 'P 1'
loop_
_atom_site_label
_atom_site_type_symbol
_atom_site_fract_x
_atom_site_fract_y
_atom_site_fract_z
Ca1 Ca 0.000 0.000 0.000
Pm1 Pm 0.500 0.500 0.266
Pm2 Pm 0.500 0.500 0.734
Gd1 Gd 0.000 0.000 0.500
```